# Pm2SiGePt6

Crystalline Pm2SiGePt6 at its relaxed geometry (PBE-GGA, Alexandria).

Space-group type   Pmmn (59)
Formation energy from raw total energies   -0.934 eV per atom

The structure in CIF format:
```
data_Pm2SiGePt6
_space_group_name_H-M_alt 'P 1'
_space_group_IT_number 1
_cell_length_a 5.572
_cell_length_b 8.301
_cell_length_c 8.598
_cell_angle_alpha 90.00
_cell_angle_beta 90.00
_cell_angle_gamma 90.00
loop_
_space_group_symop_operation_xyz
'x,y,z'
loop_
_atom_site_label
_atom_site_type_symbol
_atom_site_fract_x
_atom_site_fract_y
_atom_site_fract_z
Pm1 Pm 0.500 0.730 0.251
Pm2 Pm 0.000 0.270 0.751
Pm3 Pm 0.500 0.730 0.749
Pm4 Pm 0.000 0.270 0.249
Si1 Si 0.500 0.252 0.500
Si2 Si 0.000 0.748 0.000
Ge1 Ge 0.000 0.732 0.500
Ge2 Ge 0.500 0.268 0.000
Pt1 Pt 0.500 0.116 0.250
Pt2 Pt 0.500 0.116 0.750
Pt3 Pt 0.000 0.884 0.250
Pt4 Pt 0.000 0.884 0.750
Pt5 Pt 0.249 0.003 0.500
Pt6 Pt 0.751 0.003 0.500
Pt7 Pt 0.251 0.485 0.500
Pt8 Pt 0.749 0.485 0.500
Pt9 Pt 0.751 0.515 0.000
Pt10 Pt 0.249 0.515 0.000
Pt11 Pt 0.251 0.997 0.000
Pt12 Pt 0.749 0.997 0.000
```

***

# PmSi2GePt7

Crystalline PmSi2GePt7 at its relaxed geometry (PBE-GGA, Alexandria).

Space-group type   I-4m2 (119)
Formation energy from raw total energies   -0.493 eV per atom

The structure in CIF format:
```
data_PmSi2GePt7
_space_group_name_H-M_alt 'P 1'
_space_group_IT_number 1
_cell_length_a 4.100
_cell_length_b 4.100
_cell_length_c 14.238
_cell_angle_alpha 98.28
_cell_angle_beta 98.28
_cell_angle_gamma 90.00
loop_
_space_group_symop_operation_xyz
'x,y,z'
loop_
_atom_site_label
_atom_site_type_symbol
_atom_site_fract_x
_atom_site_fract_y
_atom_site_fract_z
Pm1 Pm 0.500 0.500 0.000
Si1 Si 0.876 0.876 0.751
Si2 Si 0.124 0.124 0.249
Ge1 Ge 0.250 0.750 0.500
Pt1 Pt 0.080 0.580 0.160
Pt2 Pt 0.000 0.000 0.000
Pt3 Pt 0.420 0.920 0.840
Pt4 Pt 0.794 0.794 0.588
Pt5 Pt 0.580 0.080 0.159
Pt6 Pt 0.206 0.206 0.412
Pt7 Pt 0.920 0.420 0.841
```

***

# Pm3Si2GePt9

Crystalline Pm3Si2GePt9 at its relaxed geometry (PBE-GGA, Alexandria).

Space-group type   P-3m1 (164)
Formation energy from raw total energies   -0.742 eV per atom

The structure in CIF format:
```
data_Pm3Si2GePt9
_space_group_name_H-M_alt 'P 1'
_space_group_IT_number 1
_cell_length_a 6.449
_cell_length_b 6.449
_cell_length_c 8.722
_cell_angle_alpha 90.00
_cell_angle_beta 90.00
_cell_angle_gamma 120.00
loop_
_space_group_symop_operation_xyz
'x,y,z'
loop_
_atom_site_label
_atom_site_type_symbol
_atom_site_fract_x
_atom_site_fract_y
_atom_site_fract_z
Pm1 Pm 0.333 0.667 0.703
Pm2 Pm 0.000 0.000 0.000
Pm3 Pm 0.667 0.333 0.297
Si1 Si 0.333 0.667 0.184
Si2 Si 0.667 0.333 0.816
Ge1 Ge 0.000 0.000 0.500
Pt1 Pt 0.856 0.144 0.717
Pt2 Pt 0.856 0.711 0.717
Pt3 Pt 0.289 0.144 0.717
Pt4 Pt 0.711 0.856 0.283
Pt5 Pt 0.144 0.289 0.283
Pt6 Pt 0.144 0.856 0.283
Pt7 Pt 0.500 0.000 0.000
Pt8 Pt 0.000 0.500 0.000
Pt9 Pt 0.500 0.500 0.000
```

***

# Pm2SmGe3Pt4

Crystalline Pm2SmGe3Pt4 at its relaxed geometry (PBE-GGA, Alexandria).

Space-group type   P-4m2 (115)
ΔE_f   -0.93 eV/atom

The structure in CIF format:
```
data_Pm2SmGe3Pt4
_space_group_name_H-M_alt 'P 1'
_space_group_IT_number 1
_cell_length_a 4.326
_cell_length_b 4.326
_cell_length_c 11.251
_cell_angle_alpha 90.00
_cell_angle_beta 90.00
_cell_angle_gamma 90.00
loop_
_space_group_symop_operation_xyz
'x,y,z'
loop_
_atom_site_label
_atom_site_type_symbol
_atom_site_fract_x
_atom_site_fract_y
_atom_site_fract_z
Pm1 Pm 0.500 0.000 0.219
Pm2 Pm 0.000 0.500 0.781
Sm1 Sm 0.500 0.500 0.500
Ge1 Ge 0.000 0.000 0.500
Ge2 Ge 0.500 0.000 0.879
Ge3 Ge 0.000 0.500 0.121
Pt1 Pt 0.500 0.500 0.000
Pt2 Pt 0.000 0.000 0.000
Pt3 Pt 0.500 0.000 0.662
Pt4 Pt 0.000 0.500 0.338
```

***

# PmSm2Ge2Pt7

Crystalline PmSm2Ge2Pt7 at its relaxed geometry (PBE-GGA, Alexandria).

Space-group type   C2/m (12)
ΔE_f   -0.94 eV/atom

The structure in CIF format:
```
data_PmSm2Ge2Pt7
_space_group_name_H-M_alt 'P 1'
_space_group_IT_number 1
_cell_length_a 4.119
_cell_length_b 4.119
_cell_length_c 14.152
_cell_angle_alpha 83.79
_cell_angle_beta 83.79
_cell_angle_gamma 89.28
loop_
_space_group_symop_operation_xyz
'x,y,z'
loop_
_atom_site_label
_atom_site_type_symbol
_atom_site_fract_x
_atom_site_fract_y
_atom_site_fract_z
Pm1 Pm 0.000 0.000 0.000
Sm1 Sm 0.883 0.883 0.358
Sm2 Sm 0.117 0.117 0.642
Ge1 Ge 0.596 0.596 0.743
Ge2 Ge 0.404 0.404 0.257
Pt1 Pt 0.500 0.500 0.000
Pt2 Pt 0.372 0.372 0.431
Pt3 Pt 0.628 0.628 0.569
Pt4 Pt 0.941 0.441 0.158
Pt5 Pt 0.441 0.941 0.158
Pt6 Pt 0.559 0.059 0.842
Pt7 Pt 0.059 0.559 0.842
```

***

# PmSmGePt

Crystalline PmSmGePt at its relaxed geometry (PBE-GGA, Alexandria).

Space-group type   Amm2 (38)
ΔE_f   -1.01 eV/atom

The structure in CIF format:
```
data_PmSmGePt
_space_group_name_H-M_alt 'P 1'
_space_group_IT_number 1
_cell_length_a 4.083
_cell_length_b 4.301
_cell_length_c 5.923
_cell_angle_alpha 90.00
_cell_angle_beta 110.16
_cell_angle_gamma 90.00
loop_
_space_group_symop_operation_xyz
'x,y,z'
loop_
_atom_site_label
_atom_site_type_symbol
_atom_site_fract_x
_atom_site_fract_y
_atom_site_fract_z
Pm1 Pm 0.863 0.500 0.726
Sm1 Sm 0.140 0.000 0.281
Ge1 Ge 0.580 0.500 0.161
Pt1 Pt 0.416 0.000 0.833
```

***

# PmSmGePt

Crystalline PmSmGePt at its relaxed geometry (PBE-GGA, Alexandria).

Space-group type   F-43m (216)
ΔE_f   -0.86 eV/atom

The structure in CIF format:
```
data_PmSmGePt
_space_group_name_H-M_alt 'P 1'
_space_group_IT_number 1
_cell_length_a 5.126
_cell_length_b 5.126
_cell_length_c 5.126
_cell_angle_alpha 60.00
_cell_angle_beta 60.00
_cell_angle_gamma 60.00
loop_
_space_group_symop_operation_xyz
'x,y,z'
loop_
_atom_site_label
_atom_site_type_symbol
_atom_site_fract_x
_atom_site_fract_y
_atom_site_fract_z
Ge1 Ge 0.250 0.250 0.250
Sm1 Sm 0.500 0.500 0.500
Pt1 Pt 0.750 0.750 0.750
Pm1 Pm 0.000 0.000 0.000
```

***

# Pm3Sn2Ge2Pt4

Crystalline Pm3Sn2Ge2Pt4 at its relaxed geometry (PBE-GGA, Alexandria).

Space-group type   P-3m1 (164)
ΔE_f   -0.98 eV/atom

The structure in CIF format:
```
data_Pm3Sn2Ge2Pt4
_space_group_name_H-M_alt 'P 1'
_space_group_IT_number 1
_cell_length_a 4.537
_cell_length_b 4.537
_cell_length_c 13.666
_cell_angle_alpha 90.00
_cell_angle_beta 90.00
_cell_angle_gamma 120.00
loop_
_space_group_symop_operation_xyz
'x,y,z'
loop_
_atom_site_label
_atom_site_type_symbol
_atom_site_fract_x
_atom_site_fract_y
_atom_site_fract_z
Pm1 Pm 0.000 0.000 0.735
Pm2 Pm 0.000 0.000 0.000
Pm3 Pm 0.000 0.000 0.265
Sn1 Sn 0.667 0.333 0.434
Sn2 Sn 0.333 0.667 0.566
Ge1 Ge 0.667 0.333 0.849
Ge2 Ge 0.333 0.667 0.151
Pt1 Pt 0.667 0.333 0.128
Pt2 Pt 0.333 0.667 0.872
Pt3 Pt 0.667 0.333 0.634
Pt4 Pt 0.333 0.667 0.366
```

***

# Pm2SnGe3Pt4

Crystalline Pm2SnGe3Pt4 at its relaxed geometry (PBE-GGA, Alexandria).

Space-group type   P-4m2 (115)
ΔE_f   -0.89 eV/atom

The structure in CIF format:
```
data_Pm2SnGe3Pt4
_space_group_name_H-M_alt 'P 1'
_space_group_IT_number 1
_cell_length_a 4.398
_cell_length_b 4.398
_cell_length_c 10.399
_cell_angle_alpha 90.00
_cell_angle_beta 90.00
_cell_angle_gamma 90.00
loop_
_space_group_symop_operation_xyz
'x,y,z'
loop_
_atom_site_label
_atom_site_type_symbol
_atom_site_fract_x
_atom_site_fract_y
_atom_site_fract_z
Pm1 Pm 0.500 0.000 0.237
Pm2 Pm 0.000 0.500 0.763
Sn1 Sn 0.500 0.500 0.500
Ge1 Ge 0.000 0.000 0.500
Ge2 Ge 0.500 0.000 0.875
Ge3 Ge 0.000 0.500 0.125
Pt1 Pt 0.500 0.500 0.000
Pt2 Pt 0.000 0.000 0.000
Pt3 Pt 0.500 0.000 0.641
Pt4 Pt 0.000 0.500 0.359
```

***

# Pm3SnGe2Pt9

Crystalline Pm3SnGe2Pt9 at its relaxed geometry (PBE-GGA, Alexandria).

Space-group type   P-3m1 (164)
ΔE_f   -0.60 eV/atom

The structure in CIF format:
```
data_Pm3SnGe2Pt9
_space_group_name_H-M_alt 'P 1'
_space_group_IT_number 1
_cell_length_a 6.517
_cell_length_b 6.517
_cell_length_c 9.434
_cell_angle_alpha 90.00
_cell_angle_beta 90.00
_cell_angle_gamma 120.00
loop_
_space_group_symop_operation_xyz
'x,y,z'
loop_
_atom_site_label
_atom_site_type_symbol
_atom_site_fract_x
_atom_site_fract_y
_atom_site_fract_z
Pm1 Pm 0.333 0.667 0.743
Pm2 Pm 0.000 0.000 0.000
Pm3 Pm 0.667 0.333 0.257
Sn1 Sn 0.000 0.000 0.500
Ge1 Ge 0.333 0.667 0.181
Ge2 Ge 0.667 0.333 0.819
Pt1 Pt 0.860 0.140 0.729
Pt2 Pt 0.860 0.721 0.729
Pt3 Pt 0.279 0.140 0.729
Pt4 Pt 0.721 0.860 0.271
Pt5 Pt 0.140 0.279 0.271
Pt6 Pt 0.140 0.860 0.271
Pt7 Pt 0.500 0.000 0.000
Pt8 Pt 0.000 0.500 0.000
Pt9 Pt 0.500 0.500 0.000
```

***

# SrPmGePt

Crystalline SrPmGePt at its relaxed geometry (PBE-GGA, Alexandria).

Space-group type   F-43m (216)
ΔE_f   -0.69 eV/atom

The structure in CIF format:
```
data_SrPmGePt
_space_group_name_H-M_alt 'P 1'
_space_group_IT_number 1
_cell_length_a 5.211
_cell_length_b 5.211
_cell_length_c 5.211
_cell_angle_alpha 60.00
_cell_angle_beta 60.00
_cell_angle_gamma 60.00
loop_
_space_group_symop_operation_xyz
'x,y,z'
loop_
_atom_site_label
_atom_site_type_symbol
_atom_site_fract_x
_atom_site_fract_y
_atom_site_fract_z
Sr1 Sr 0.000 0.000 0.000
Ge1 Ge 0.250 0.250 0.250
Pt1 Pt 0.750 0.750 0.750
Pm1 Pm 0.500 0.500 0.500
```